(1)
# Cs2VHI6

A relaxed structure of Cs2VHI6 (PBE, Alexandria).

Output
DOS(E_F) ... 7.10 states/eV/cell
V ... 39.52 A^3/atom
Final energy ... -2.939 eV per atom

Geometry as POSCAR:
```
Cs2VHI6
1.0
-6.018 -4.771 2.858
-0.034 -4.179 -7.048
0.969 -8.202 0.095
Cs V H I
2 1 1 6
direct
0.250 0.750 0.500
0.750 0.250 0.500
0.000 0.000 0.000
0.500 0.500 0.000
0.763 0.763 0.000
0.237 0.237 0.000
0.766 0.766 0.468
0.234 0.234 0.532
0.763 0.237 0.000
0.237 0.763 0.000
```

***

(2)
# CsYHI2

A relaxed structure of CsYHI2 (PBE, Alexandria).

Output
DOS(E_F) ... 4.67 states/eV/cell
V ... 65.90 A^3/atom
Final energy ... -3.038 eV per atom

Geometry as POSCAR:
```
CsYHI2
1.0
5.874 0.000 0.000
0.000 9.550 0.000
0.000 0.000 5.874
H Y I Cs
1 1 2 1
direct
0.500 0.500 0.500
0.000 0.000 0.000
0.500 0.000 0.000
0.000 0.000 0.500
0.000 0.500 0.000
```

***

(3)
# CsZnHI2

A relaxed structure of CsZnHI2 (PBE, Alexandria).

Output
DOS(E_F) ... 3.16 states/eV/cell
V ... 33.82 A^3/atom
Final energy ... -1.701 eV per atom

Geometry as POSCAR:
```
CsZnHI2
1.0
-5.140 0.045 1.464
-0.123 -5.337 -0.267
1.616 -0.322 5.685
H I Zn Cs
1 2 1 1
direct
0.000 0.000 0.000
0.500 0.000 0.000
0.000 0.500 0.000
0.500 0.500 0.500
0.000 0.000 0.500
```

***

- Which of these has the lowest final energy?
  CsYHI2